VASP calculation (GGA-PBE) on a geometry-optimized SmGa2CuPd structure.

Calculated values
- DOS at the Fermi energy (states/eV per cell) = 8.98
- energy of formation from the pure elements (eV per formula unit) = -2.94

```
data_SmGa2CuPd
_cell_length_a 4.2632
_cell_length_b 4.2632
_cell_length_c 10.2625
_cell_angle_alpha 90.00
_cell_angle_beta 90.00
_cell_angle_gamma 90.00
_space_group_name_H-M_alt 'I -4 m 2'
_space_group_IT_number 119
_space_group_name_Hall 'I -4 -2'
loop_
_atom_site_label
_atom_site_fract_x
_atom_site_fract_y
_atom_site_fract_z
Sm1 0.0000 0.0000 0.0000
Ga1 0.0000 0.0000 0.3763
Cu1 0.0000 0.5000 0.7500
Pd1 0.0000 0.5000 0.2500
```

=====

VASP calculation (GGA-PBE) on a geometry-optimized SmGaCu2Pd4 structure.

Calculated values
- DOS at the Fermi energy (states/eV per cell) = 10.72
- energy of formation from the pure elements (eV per formula unit) = -3.99

```
data_SmGaCu2Pd4
_cell_length_a 4.4132
_cell_length_b 4.4132
_cell_length_c 23.3042
_cell_angle_alpha 90.00
_cell_angle_beta 90.00
_cell_angle_gamma 120.00
_space_group_name_H-M_alt 'R -3 m'
_space_group_IT_number 166
_space_group_name_Hall '-R 3 2"'
loop_
_atom_site_label
_atom_site_fract_x
_atom_site_fract_y
_atom_site_fract_z
Sm1 0.0000 0.0000 0.0000
Ga1 0.0000 0.0000 0.5000
Cu1 0.0000 0.0000 0.2486
Pd1 0.0000 0.0000 0.1304
Pd2 0.0000 0.0000 0.3948
```

=====

VASP calculation (GGA-PBE) on a geometry-optimized Sm2Ga3Cu4Pd structure.

Calculated values
- DOS at the Fermi energy (states/eV per cell) = 5.94
- energy of formation from the pure elements (eV per formula unit) = -4.27

```
data_Sm2Ga3Cu4Pd
_cell_length_a 4.0414
_cell_length_b 4.0414
_cell_length_c 10.8731
_cell_angle_alpha 90.00
_cell_angle_beta 90.00
_cell_angle_gamma 90.00
_space_group_name_H-M_alt 'P -4 m 2'
_space_group_IT_number 115
_space_group_name_Hall 'P -4 -2'
loop_
_atom_site_label
_atom_site_fract_x
_atom_site_fract_y
_atom_site_fract_z
Sm1 0.0000 0.5000 0.2480
Ga1 0.0000 0.0000 0.0000
Ga2 0.0000 0.5000 0.6305
Cu1 0.0000 0.0000 0.5000
Cu2 0.0000 0.5000 0.8542
Cu3 0.5000 0.5000 0.5000
Pd1 0.5000 0.5000 0.0000
```

=====

VASP calculation (GGA-PBE) on a geometry-optimized SmGaCuPd structure.

Calculated values
- DOS at the Fermi energy (states/eV per cell) = 13.45
- energy relative to the lowest polymorph listed for this composition (kJ per mole of atoms) = 8.2
- energy of formation from the pure elements (eV per formula unit) = -1.91

```
data_SmGaCuPd
_cell_length_a 6.6669
_cell_length_b 6.6669
_cell_length_c 6.6669
_cell_angle_alpha 90.00
_cell_angle_beta 90.00
_cell_angle_gamma 90.00
_space_group_name_H-M_alt 'F -4 3 m'
_space_group_IT_number 216
_space_group_name_Hall 'F -4 2 3'
loop_
_atom_site_label
_atom_site_fract_x
_atom_site_fract_y
_atom_site_fract_z
Sm1 0.0000 0.0000 0.0000
Ga1 0.0000 0.0000 0.5000
Cu1 0.2500 0.2500 0.2500
Pd1 0.2500 0.2500 0.7500
```

=====

VASP calculation (GGA-PBE) on a geometry-optimized SmGa2CuPd5 structure.

Calculated values
- DOS at the Fermi energy (states/eV per cell) = 5.05
- energy of formation from the pure elements (eV per formula unit) = -3.27

```
data_SmGa2CuPd5
_cell_length_a 4.6952
_cell_length_b 4.6952
_cell_length_c 7.3421
_cell_angle_alpha 90.00
_cell_angle_beta 90.00
_cell_angle_gamma 90.00
_space_group_name_H-M_alt 'P 4/m m m'
_space_group_IT_number 123
_space_group_name_Hall '-P 4 2'
loop_
_atom_site_label
_atom_site_fract_x
_atom_site_fract_y
_atom_site_fract_z
Sm1 0.0000 0.0000 0.0000
Ga1 0.5000 0.5000 0.3393
Cu1 0.0000 0.0000 0.5000
Pd1 0.0000 0.5000 0.2659
Pd2 0.5000 0.5000 0.0000
```

=====

VASP calculation (GGA-PBE) on a geometry-optimized Sm3GaCu2Pd9 structure.

Calculated values
- DOS at the Fermi energy (states/eV per cell) = 6.11
- energy of formation from the pure elements (eV per formula unit) = -4.87

```
data_Sm3GaCu2Pd9
_cell_length_a 7.5310
_cell_length_b 7.5310
_cell_length_c 6.1933
_cell_angle_alpha 90.00
_cell_angle_beta 90.00
_cell_angle_gamma 120.00
_space_group_name_H-M_alt 'P -3 m 1'
_space_group_IT_number 164
_space_group_name_Hall '-P 3 2"'
loop_
_atom_site_label
_atom_site_fract_x
_atom_site_fract_y
_atom_site_fract_z
Sm1 0.0000 0.0000 0.0000
Sm2 0.3333 0.6667 0.6704
Ga1 0.0000 0.0000 0.5000
Cu1 0.3333 0.6667 0.1689
Pd1 0.0000 0.5000 0.0000
Pd2 0.1649 0.3299 0.3286
```

=====

VASP calculation (GGA-PBE) on a geometry-optimized SmGa3CuPd structure.

Calculated values
- DOS at the Fermi energy (states/eV per cell) = 6.81
- energy of formation from the pure elements (eV per formula unit) = -2.22

```
data_SmGa3CuPd
_cell_length_a 6.0032
_cell_length_b 12.3036
_cell_length_c 6.0708
_cell_angle_alpha 90.00
_cell_angle_beta 90.00
_cell_angle_gamma 90.00
_space_group_name_H-M_alt 'C m c m'
_space_group_IT_number 63
_space_group_name_Hall '-C 2c 2'
loop_
_atom_site_label
_atom_site_fract_x
_atom_site_fract_y
_atom_site_fract_z
Sm1 0.0000 0.2137 0.2500
Ga1 0.0000 0.3549 0.7500
Ga2 0.2113 0.0000 0.0000
Cu1 0.0000 0.4364 0.2500
Pd1 0.0000 0.1481 0.7500
```

=====

VASP calculation (GGA-PBE) on a geometry-optimized SmGa5Cu2Pd structure.

Calculated values
- DOS at the Fermi energy (states/eV per cell) = 3.91
- energy of formation from the pure elements (eV per formula unit) = -1.56

```
data_SmGa5Cu2Pd
_cell_length_a 4.2137
_cell_length_b 4.2137
_cell_length_c 10.0725
_cell_angle_alpha 90.00
_cell_angle_beta 90.00
_cell_angle_gamma 90.00
_space_group_name_H-M_alt 'P 4/m m m'
_space_group_IT_number 123
_space_group_name_Hall '-P 4 2'
loop_
_atom_site_label
_atom_site_fract_x
_atom_site_fract_y
_atom_site_fract_z
Sm1 0.0000 0.0000 0.0000
Ga1 0.0000 0.5000 0.3475
Ga2 0.5000 0.5000 0.0000
Cu1 0.5000 0.5000 0.2250
Pd1 0.0000 0.0000 0.5000
```

=====

Question: What is the energy of formation from the pure elements in the first record?
Answer: -2.94 eV per formula unit

=====

Question: Among the records above, which one has the highest DOS at the Fermi energy?
Answer: SmGaCuPd